Compound: Tb2Mg5Tl3Pb2
Source: the Alexandria database
Functional: PBE-GGA
Structure: relaxed

```
12
Lattice="4.427 0.000 0.000 0.000 4.427 0.000 -2.213 -2.213 17.917" Properties=species:S:1:pos:R:3 pbc="T T T"
Tb 2.213 2.213 7.713
Tb 0.000 0.000 10.204
Mg 2.213 0.000 5.002
Mg 0.000 2.213 12.915
Mg 0.000 2.213 5.002
Mg 2.213 0.000 12.915
Mg 2.213 2.213 0.000
Tl 0.000 0.000 7.057
Tl 2.213 2.213 10.860
Tl 0.000 0.000 0.000
Pb 0.000 0.000 15.017
Pb 2.213 2.213 2.900
```

Properties
Formation energy (meV per atom): -45
Symmetry: I4/mmm
Total magnetization (μB/f.u.): 0.00
Energy (eV per atom): -2.69